NaLaFeTe3 | GGA-PBE | optimized geometry

```
NaLaFeTe3
1.0
8.9946 0.0000 0.0000
0.0000 4.3629 0.0000
-1.9133 0.0000 9.9716
Na La Fe Te
2 2 2 6
direct
0.2110 0.2500 0.2616
0.7890 0.7500 0.7384
0.3161 0.7500 0.8547
0.6839 0.2500 0.1453
0.0635 0.2500 0.5758
0.9365 0.7500 0.4242
0.0536 0.2500 0.8355
0.2284 0.7500 0.5259
0.4334 0.7500 0.1739
0.5666 0.2500 0.8261
0.7716 0.2500 0.4741
0.9464 0.7500 0.1645
```

Output
Offset from the most stable computed form ... 0.000 eV/atom
Space-group type ... No. 11
Total energy ... -58.1 eV per cell

=====

NaLaFeW | GGA-PBE | optimized geometry

```
NaLaFeW
1.0
0.0000 3.3660 3.3660
3.3660 0.0000 3.3660
3.3660 3.3660 0.0000
Na La Fe W
1 1 1 1
direct
0.0000 0.0000 0.0000
0.2500 0.2500 0.2500
0.5000 0.5000 0.5000
0.7500 0.7500 0.7500
```

Output
Offset from the most stable computed form ... 0.043 eV/atom
Space-group type ... No. 216
Total energy ... -23.4 eV per cell

=====

NaLaFeW | GGA-PBE | optimized geometry

```
NaLaFeW
1.0
0.0000 3.3821 3.3821
3.3821 0.0000 3.3821
3.3821 3.3821 0.0000
Na La Fe W
1 1 1 1
direct
0.0000 0.0000 0.0000
0.2500 0.2500 0.2500
0.7500 0.7500 0.7500
0.5000 0.5000 0.5000
```

Output
Offset from the most stable computed form ... 0.000 eV/atom
Space-group type ... No. 216
Total energy ... -23.5 eV per cell

=====

NaLaFeW | GGA-PBE | optimized geometry

```
NaLaFeW
1.0
0.0000 3.5105 3.5105
3.5105 0.0000 3.5105
3.5105 3.5105 0.0000
Na La Fe W
1 1 1 1
direct
0.0000 0.0000 0.0000
0.5000 0.5000 0.5000
0.2500 0.2500 0.2500
0.7500 0.7500 0.7500
```

Output
Offset from the most stable computed form ... 0.312 eV/atom
Space-group type ... No. 216
Total energy ... -22.3 eV per cell

=====

LaNbFe | GGA-PBE | optimized geometry

```
LaNbFe
1.0
0.0000 3.1802 3.1802
3.1802 0.0000 3.1802
3.1802 3.1802 0.0000
La Nb Fe
1 1 1
direct
0.0000 0.0000 0.0000
0.2500 0.2500 0.2500
0.5000 0.5000 0.5000
```

Output
Calculated formation energy ... 0.85 eV/atom
Space-group type ... No. 216
Total energy ... -20.8 eV per cell

=====

LaNdFe2Si4 | GGA-PBE | optimized geometry

```
LaNdFe2Si4
1.0
4.3726 0.0000 0.0000
0.0000 4.0511 0.0000
-1.9533 0.0000 7.9107
La Nd Fe Si
1 1 2 4
direct
0.0000 0.0000 0.0000
0.7918 0.5000 0.5882
0.2773 0.0000 0.4035
0.5132 0.5000 0.1868
0.0716 0.5000 0.2924
0.3503 0.0000 0.6949
0.4393 0.5000 0.8897
0.7199 0.0000 0.2999
```

Output
Space-group type ... No. 6
Total energy ... -53.4 eV per cell

=====

LaNdFe2Si2 | GGA-PBE | optimized geometry

```
LaNdFe2Si2
1.0
4.0886 0.0000 0.0000
0.0000 4.0886 0.0000
0.0000 0.0000 6.9489
La Nd Fe Si
1 1 2 2
direct
0.0000 0.0000 0.0000
0.5000 0.5000 0.6325
0.0000 0.5000 0.3213
0.5000 0.0000 0.3213
0.0000 0.0000 0.4831
0.5000 0.5000 0.1587
```

Output
Space-group type ... No. 99
Total energy ... -40.6 eV per cell

=====

LaNdFe2Sn4 | GGA-PBE | optimized geometry

```
LaNdFe2Sn4
1.0
4.7814 0.0000 0.0000
0.0000 4.6702 0.0000
-2.2550 0.0000 8.4892
La Nd Fe Sn
1 1 2 4
direct
0.0000 0.0000 0.0000
0.8593 0.5000 0.5683
0.1521 0.0000 0.3900
0.7047 0.5000 0.1797
0.2384 0.5000 0.2888
0.4049 0.0000 0.6759
0.4522 0.5000 0.8915
0.6201 0.0000 0.2840
```

Output
Space-group type ... No. 6
Total energy ... -45.0 eV per cell

=====

LaNdTlFe2 | GGA-PBE | optimized geometry

```
LaNdTlFe2
1.0
4.0475 0.0000 0.0000
0.0000 1.9820 7.2719
0.0000 -1.9820 7.2719
La Nd Tl Fe
1 1 1 2
direct
0.0000 0.0000 0.0000
0.0000 0.7257 0.7257
0.5000 0.3604 0.3604
0.5000 0.1551 0.1551
0.5000 0.5701 0.5701
```

Output
Space-group type ... No. 38
Total energy ... -29.0 eV per cell

=====

La5Fe3Ni2 | GGA-PBE | optimized geometry

```
La5Fe3Ni2
1.0
6.7993 -3.5329 0.0000
6.7993 3.5329 0.0000
0.0000 0.0000 9.5886
La Fe Ni
10 6 4
direct
0.0179 0.3849 0.7500
0.1625 0.8375 0.7500
0.3720 0.3720 0.0000
0.3720 0.3720 0.5000
0.3849 0.0179 0.2500
0.6151 0.9821 0.7500
0.6280 0.6280 0.0000
0.6280 0.6280 0.5000
0.8375 0.1625 0.2500
0.9821 0.6151 0.2500
0.1490 0.1490 0.0000
0.1490 0.1490 0.5000
0.3769 0.6231 0.2500
0.6231 0.3769 0.7500
0.8510 0.8510 0.0000
0.8510 0.8510 0.5000
0.1565 0.8435 0.0639
0.1565 0.8435 0.4361
0.8435 0.1565 0.5639
0.8435 0.1565 0.9361
```

Output
Calculated formation energy ... 0.06 eV/atom
Space-group type ... No. 63
Total energy ... -120.2 eV per cell

=====

La3FeNiS7 | GGA-PBE | optimized geometry

```
La3FeNiS7
1.0
10.1750 0.0000 0.0000
-5.0875 8.8118 0.0000
0.0000 0.0000 5.9481
La Fe Ni S
6 2 2 14
direct
0.1419 0.7692 0.0000
0.2308 0.3727 0.0000
0.3727 0.1419 0.5000
0.6273 0.8581 0.0000
0.7692 0.6273 0.5000
0.8581 0.2308 0.5000
0.3333 0.6667 0.5842
0.6667 0.3333 0.0842
0.0000 0.0000 0.2233
0.0000 0.0000 0.7233
0.0860 0.8614 0.4659
0.0977 0.5181 0.7216
0.1386 0.2246 0.4659
0.2246 0.0860 0.9659
0.3333 0.6667 0.2105
0.4204 0.9023 0.7216
0.4819 0.5796 0.7216
0.5181 0.4204 0.2216
0.5796 0.0977 0.2216
0.6667 0.3333 0.7105
0.7754 0.9140 0.4659
0.8614 0.7754 0.9659
0.9023 0.4819 0.2216
0.9140 0.1386 0.9659
```

Output
Space-group type ... No. 173
Total energy ... -149.9 eV per cell

=====

La2FeSi4Ni | GGA-PBE | optimized geometry

```
La2FeSi4Ni
1.0
4.0608 0.0000 0.0000
0.0000 2.0903 8.5143
0.0000 -2.0903 8.5143
La Fe Si Ni
2 1 4 1
direct
0.0000 0.0000 0.0000
0.5000 0.2123 0.2123
0.5000 0.8564 0.8564
0.0000 0.6450 0.6450
0.0000 0.7925 0.7925
0.5000 0.4201 0.4201
0.5000 0.5683 0.5683
0.0000 0.3561 0.3561
```

Output
Space-group type ... No. 38
Total energy ... -51.1 eV per cell

=====

LaFeSi2Ni | GGA-PBE | optimized geometry

```
LaFeSi2Ni
1.0
-2.0174 2.0174 4.9859
2.0174 -2.0174 4.9859
2.0174 2.0174 -4.9859
La Fe Si Ni
1 1 2 1
direct
0.0000 0.0000 0.0000
0.7500 0.2500 0.5000
0.3650 0.3650 0.0000
0.6350 0.6350 0.0000
0.2500 0.7500 0.5000
```

Output
Space-group type ... No. 119
Total energy ... -33.0 eV per cell

=====

LaNpFe | GGA-PBE | optimized geometry

```
LaNpFe
1.0
0.0000 3.1120 3.1120
3.1120 0.0000 3.1120
3.1120 3.1120 0.0000
La Np Fe
1 1 1
direct
0.0000 0.0000 0.0000
0.2500 0.2500 0.2500
0.7500 0.7500 0.7500
```

Output
Calculated formation energy ... 1.08 eV/atom
Space-group type ... No. 216
Total energy ... -22.8 eV per cell

=====

LaFeSi2Os | GGA-PBE | optimized geometry

```
LaFeSi2Os
1.0
-2.0690 2.0690 5.0028
2.0690 -2.0690 5.0028
2.0690 2.0690 -5.0028
La Fe Si Os
1 1 2 1
direct
0.0000 0.0000 0.0000
0.7500 0.2500 0.5000
0.3630 0.3630 0.0000
0.6370 0.6370 0.0000
0.2500 0.7500 0.5000
```

Output
Space-group type ... No. 119
Total energy ... -38.6 eV per cell

=====

LaFe5P3 | GGA-PBE | optimized geometry

```
LaFe5P3
1.0
1.8610 -5.9369 0.0000
1.8610 5.9369 0.0000
0.0000 0.0000 10.9722
La Fe P
2 10 6
direct
0.1752 0.8248 0.7500
0.8248 0.1752 0.2500
0.0000 0.0000 0.0000
0.0000 0.0000 0.5000
0.1894 0.8106 0.0624
0.1894 0.8106 0.4376
0.4595 0.5405 0.6402
0.4595 0.5405 0.8598
0.5405 0.4595 0.1402
0.5405 0.4595 0.3598
0.8106 0.1894 0.5624
0.8106 0.1894 0.9376
0.1056 0.8944 0.2500
0.3697 0.6303 0.0398
0.3697 0.6303 0.4602
0.6303 0.3697 0.5398
0.6303 0.3697 0.9602
0.8944 0.1056 0.7500
```

Output
Space-group type ... No. 63
Total energy ... -137.8 eV per cell

=====

LaFeP2Pd | GGA-PBE | optimized geometry

```
LaFeP2Pd
1.0
-2.0550 2.0550 5.0061
2.0550 -2.0550 5.0061
2.0550 2.0550 -5.0061
La Fe P Pd
1 1 2 1
direct
0.0000 0.0000 0.0000
0.2500 0.7500 0.5000
0.3737 0.3737 0.0000
0.6263 0.6263 0.0000
0.7500 0.2500 0.5000
```

Output
Space-group type ... No. 119
Total energy ... -33.6 eV per cell

=====

LaFe2SiP | GGA-PBE | optimized geometry

```
LaFe2SiP
1.0
-1.9781 1.9781 5.0217
1.9781 -1.9781 5.0217
1.9781 1.9781 -5.0217
La Fe Si P
1 2 1 1
direct
0.0000 0.0000 0.0000
0.2568 0.7568 0.5000
0.7568 0.2568 0.5000
0.6457 0.6457 0.0000
0.3581 0.3581 0.0000
```

Output
Space-group type ... No. 107
Total energy ... -36.5 eV per cell

=====

La3FePb | GGA-PBE | optimized geometry

```
La3FePb
1.0
5.2669 0.0000 0.0000
0.0000 5.2669 0.0000
0.0000 0.0000 5.2669
La Fe Pb
3 1 1
direct
0.0000 0.0000 0.5000
0.0000 0.5000 0.0000
0.5000 0.0000 0.0000
0.0000 0.0000 0.0000
0.5000 0.5000 0.5000
```

Output
Space-group type ... No. 221
Total energy ... -28.5 eV per cell

=====

La3FePb | GGA-PBE | optimized geometry

```
La3FePb
1.0
5.2432 0.0000 0.0000
0.0000 5.3026 0.0000
-0.0062 0.0000 5.3013
La Fe Pb
3 1 1
direct
0.0000 0.0000 0.0000
0.0003 0.5000 0.5002
0.4915 0.0000 0.4990
0.0394 0.0000 0.4962
0.5055 0.5000 0.9988
```

Output
Space-group type ... No. 6
Total energy ... -28.5 eV per cell

=====

no.,total moment (μB per cell)
1,7.68
2,1.85
3,1.83
4,4.89
5,0.56
6,0.04
7,0.01
8,2.00
9,2.93
10,10.80
11,14.02
12,1.21
13,0.66
14,0.11
15,0.00
16,10.90
17,1.98
18,0.00
19,0.00
20,0.00